(1)
{
  "formula": "La2Al12CdNi3",
  "functional": "PBE-GGA",
  "state": "relaxed",
  "lattice": [[-6.8564, -0.0413, 3.9772], [0.5348, -1.3564, 7.7913], [-1.3087, 6.2530, 4.6922]],
  "species": ["Al", "La", "Al", "Al", "Al", "Al", "Al", "Al", "Ni", "Al", "Ni", "La", "Al", "Cd", "Al", "Al", "Ni", "Al"],
  "frac_coords": [[0.5378, 0.1609, 0.1609], [0.4191, 0.4191, 0.4191], [0.1098, 0.7501, 0.7501], [0.8391, 0.4622, 0.8391], [0.2499, 0.2499, 0.8902], [0.7501, 0.7501, 0.1098], [0.1609, 0.1609, 0.5378], [0.8902, 0.2499, 0.2499], [0.0000, 0.0000, 0.5000], [0.4622, 0.8391, 0.8391], [0.0000, 0.5000, 0.0000], [0.5809, 0.5809, 0.5809], [0.8391, 0.8391, 0.4622], [0.0000, 0.0000, 0.0000], [0.7501, 0.1098, 0.7501], [0.1609, 0.5378, 0.1609], [0.5000, 0.0000, 0.0000], [0.2499, 0.8902, 0.2499]],
  "dos_at_fermi_per_ev_cell": 10.6,
  "e_form_kj_per_mol_atoms": 2.77,
  "final_energy_ev_per_atom": -4.0282,
  "density_g_cm3": 3.84
}



(2)
{
  "formula": "LaScCl2",
  "functional": "PBE-GGA",
  "state": "relaxed",
  "lattice": [[-1.9128, 4.4519, -1.5832], [-3.6041, 3.3159, 1.4141], [3.8707, 2.9844, 3.3153]],
  "species": ["Cl", "Sc", "Cl", "La"],
  "frac_coords": [[0.0407, 0.0407, 0.9919], [0.2500, 0.2500, 0.2500], [0.4593, 0.4593, 0.5081], [0.7500, 0.7500, 0.7500]],
  "relative_energy_mev_per_atom": 103,
  "dos_at_fermi_per_ev_cell": 2.7,
  "final_energy_ev_per_atom": -5.0057,
  "density_g_cm3": 4.15
}



(3)
{
  "formula": "HoHfSn",
  "functional": "PBE-GGA",
  "state": "relaxed",
  "lattice": [[4.3478, 0.0000, 0.0000], [0.0000, 4.3478, 0.0000], [0.0000, 0.0000, 8.1376]],
  "species": ["Sn", "Hf", "Sn", "Ho", "Hf", "Ho"],
  "frac_coords": [[0.5000, 0.0000, 0.7685], [0.5000, 0.5000, 0.5000], [0.0000, 0.5000, 0.2315], [0.5000, 0.0000, 0.1634], [0.0000, 0.0000, 0.5000], [0.0000, 0.5000, 0.8366]],
  "relative_energy_mev_per_atom": 0,
  "dos_at_fermi_per_ev_cell": 4.3,
  "e_form_kj_per_mol_atoms": -50.82,
  "final_energy_ev_per_atom": -6.7047,
  "density_g_cm3": 9.98
}



(4)
{
  "formula": "RbEu2Au",
  "functional": "PBE-GGA",
  "state": "relaxed",
  "lattice": [[-1.0152, -1.0518, -4.2088], [3.2420, -0.5028, -3.0145], [1.4673, -12.0056, 0.2880]],
  "species": ["Eu", "Eu", "Rb", "Au"],
  "frac_coords": [[0.8796, 0.8796, 0.3613], [0.1204, 0.1204, 0.6387], [0.0000, 0.0000, 0.0000], [0.5000, 0.5000, 0.5000]],
  "relative_energy_mev_per_atom": 13,
  "dos_at_fermi_per_ev_cell": 21.3,
  "e_form_kj_per_mol_atoms": -27.70,
  "final_energy_ev_per_atom": -6.4856,
  "density_g_cm3": 4.79
}



(5)
{
  "formula": "BaHg5Pt",
  "functional": "PBE-GGA",
  "state": "relaxed",
  "lattice": [[5.0297, 0.0000, 0.0000], [0.0000, 5.0297, 0.0000], [0.0000, 0.0000, 7.7894]],
  "species": ["Hg", "Hg", "Hg", "Hg", "Hg", "Pt", "Ba"],
  "frac_coords": [[0.5000, 0.0000, 0.6916], [0.0000, 0.5000, 0.6916], [0.0000, 0.5000, 0.3084], [0.5000, 0.0000, 0.3084], [0.5000, 0.5000, 0.0000], [0.0000, 0.0000, 0.5000], [0.0000, 0.0000, 0.0000]],
  "dos_at_fermi_per_ev_cell": 2.2,
  "e_form_kj_per_mol_atoms": -25.92,
  "final_energy_ev_per_atom": -1.6219,
  "density_g_cm3": 11.25
}



(6)
{
  "formula": "AgRh2Br",
  "functional": "PBE-GGA",
  "state": "relaxed",
  "lattice": [[2.9112, -0.0165, 0.0000], [-1.4415, 2.5293, 0.0000], [0.0000, 0.0000, 9.5670]],
  "species": ["Rh", "Br", "Rh", "Ag"],
  "frac_coords": [[0.0000, 0.0000, 0.0102], [0.5000, 0.5000, 0.7745], [0.5000, 0.5000, 0.2335], [0.0000, 0.0000, 0.4819]],
  "relative_energy_mev_per_atom": 198,
  "dos_at_fermi_per_ev_cell": 5.9,
  "final_energy_ev_per_atom": -4.3037,
  "density_g_cm3": 9.31
}



(7)
{
  "formula": "K2RbTl",
  "functional": "PBE-GGA",
  "state": "relaxed",
  "lattice": [[-6.4470, 0.8087, 3.9896], [-5.0697, -5.6076, 2.0614], [2.4268, -4.2355, 9.3386]],
  "species": ["K", "Tl", "Rb", "Tl", "K", "K", "K", "Rb"],
  "frac_coords": [[0.0977, 0.2297, 0.1776], [0.2500, 0.7483, 0.5034], [0.7500, 0.8207, 0.3586], [0.7500, 0.2517, 0.4966], [0.9023, 0.7703, 0.8224], [0.5977, 0.4073, 0.8224], [0.4023, 0.5927, 0.1776], [0.2500, 0.1793, 0.6414]],
  "relative_energy_mev_per_atom": 0,
  "dos_at_fermi_per_ev_cell": 5.0,
  "e_form_kj_per_mol_atoms": -1.76,
  "final_energy_ev_per_atom": -1.4004,
  "density_g_cm3": 2.64
}